The following is a DFT calculation (PBE) of an optimized crystal structure of Pr2DyTl3Te6.

a = 7.884 Å, b = 7.884 Å, c = 8.590 Å
α = 98.81°, β = 98.81°, γ = 119.99°
Element x y z (fractional)
Te  0.927  0.603  0.782
Te  0.603  0.927  0.782
Te  0.250  0.250  0.779
Tl  0.500  0.500  0.500
Dy  0.000  0.000  0.000
Tl  0.831  0.169  0.500
Te  0.397  0.073  0.218
Te  0.073  0.397  0.218
Tl  0.169  0.831  0.500
Te  0.750  0.750  0.221
Pr  0.666  0.334  0.000
Pr  0.334  0.666  0.000

Symmetry: No. 12
Total magnetization, μB per formula unit: 0.00
Raw total energy, eV per atom: -4.410
ΔE_f (raw), eV per formula unit: -12.8